(1)
Density functional theory data (GGA-PBEsol) for a relaxed structure of RbNaZr2Cu.

Geometry as extended XYZ:
```
5
Lattice="4.9993 0.0000 0.0000 0.0000 4.9993 0.0000 0.0000 0.0000 5.9424" Properties=species:S:1:pos:R:3 pbc="T T T"
Rb 0.0000 0.0000 0.0000
Na 2.4997 2.4997 0.0000
Zr 0.0000 2.4997 2.9712
Zr 2.4997 0.0000 2.9712
Cu 2.4997 2.4997 2.9712
```

Calculated values
Energy relative to the elements = 0.888 eV/atom
Fermi-level density of states = 8.01 states/eV/cell
Energy = -20.5 eV per formula unit

(2)
Density functional theory data (GGA-PBEsol) for a relaxed structure of CuBiP2Se6.

Geometry as extended XYZ:
```
20
Lattice="6.4964 0.0000 0.0000 -3.2482 5.6260 0.0000 0.0000 0.0000 13.2417" Properties=species:S:1:pos:R:3 pbc="T T T"
Cu 0.0000 0.0000 3.3104
Cu 0.0000 0.0000 9.9313
Bi 0.0000 3.7507 3.3104
Bi 3.2482 1.8753 9.9313
P 0.0000 3.7507 8.7980
P 0.0000 3.7507 11.0646
P 3.2482 1.8753 2.1771
P 3.2482 1.8753 4.4437
Se -0.8512 1.7950 8.2134
Se -2.1193 3.9914 11.6491
Se 0.8512 1.7950 11.6491
Se -1.2681 5.4657 8.2134
Se 1.9801 0.1603 1.5926
Se 1.1289 1.6347 5.0283
Se 2.1193 3.9914 8.2134
Se 1.2681 5.4657 11.6491
Se 4.5163 0.1603 5.0283
Se 2.3970 3.8311 1.5926
Se 5.3675 1.6347 1.5926
Se 4.0994 3.8311 5.0283
```

Calculated values
Energy = -44.7 eV per formula unit
Formation energy without anion corrections = -13.91 kJ per mole of atoms

(3)
Density functional theory data (GGA-PBEsol) for a relaxed structure of K2SrCaCd.

Geometry as extended XYZ:
```
5
Lattice="7.6213 0.0000 0.0000 0.0000 7.6213 0.0000 0.0000 0.0000 7.3896" Properties=species:S:1:pos:R:3 pbc="T T T"
K 0.0000 3.8107 0.0000
K 3.8107 0.0000 0.0000
Sr 0.0000 0.0000 0.0000
Ca 0.0000 0.0000 3.6948
Cd 3.8107 3.8107 3.6948
```

Calculated values
Energy relative to the elements = 0.775 eV/atom
Fermi-level density of states = 5.32 states/eV/cell
Energy = -3.6 eV per formula unit

(4)
Density functional theory data (GGA-PBEsol) for a relaxed structure of TiNi2Sn.

Geometry as extended XYZ:
```
4
Lattice="3.1389 0.0000 0.0000 0.0000 3.1389 0.0000 0.0000 0.0000 5.7947" Properties=species:S:1:pos:R:3 pbc="T T T"
Ti 0.0000 0.0000 0.0000
Ni 1.5695 1.5695 1.2501
Ni 1.5695 1.5695 4.5446
Sn 0.0000 0.0000 2.8974
```

Calculated values
Energy relative to the elements = -0.361 eV/atom
Fermi-level density of states = 1.45 states/eV/cell
Energy = -26.3 eV per formula unit

(5)
Density functional theory data (GGA-PBEsol) for a relaxed structure of GdGa2.

Geometry as extended XYZ:
```
3
Lattice="4.1794 0.0000 0.0000 -2.0897 3.6194 0.0000 0.0000 0.0000 4.0723" Properties=species:S:1:pos:R:3 pbc="T T T"
Gd 0.0000 0.0000 0.0000
Ga 0.0000 2.4130 2.0362
Ga 2.0897 1.2065 2.0362
```

Calculated values
Energy relative to the elements = -0.707 eV/atom
Fermi-level density of states = 1.48 states/eV/cell
Energy = -23.2 eV per formula unit

(6)
Density functional theory data (GGA-PBEsol) for a relaxed structure of Ga3ReMo.

Geometry as extended XYZ:
```
5
Lattice="4.7242 0.0000 0.0000 0.0000 4.7242 0.0000 0.0000 0.0000 4.7242" Properties=species:S:1:pos:R:3 pbc="T T T"
Ga 0.0000 0.0000 2.3621
Ga 0.0000 2.3621 0.0000
Ga 2.3621 0.0000 0.0000
Re 0.0000 0.0000 0.0000
Mo 2.3621 2.3621 2.3621
```

Calculated values
Energy relative to the elements = 1.082 eV/atom
Fermi-level density of states = 1.98 states/eV/cell
Energy = -29.7 eV per formula unit

(7)
Density functional theory data (GGA-PBEsol) for a relaxed structure of TlCdOs2.

Geometry as extended XYZ:
```
4
Lattice="0.0000 3.2364 3.2364 3.2364 0.0000 3.2364 3.2364 3.2364 0.0000" Properties=species:S:1:pos:R:3 pbc="T T T"
Tl 0.0000 0.0000 0.0000
Cd 1.6182 1.6182 1.6182
Os 3.2364 3.2364 3.2364
Os 4.8545 4.8545 4.8545
```

Calculated values
Energy relative to the elements = 1.070 eV/atom
Fermi-level density of states = 6.09 states/eV/cell
Energy = -24.0 eV per formula unit

(8)
Density functional theory data (GGA-PBEsol) for a relaxed structure of LiGeI2.

Geometry as extended XYZ:
```
8
Lattice="-2.9209 2.9209 8.1713 2.9209 -2.9209 8.1713 2.9209 2.9209 -8.1713" Properties=species:S:1:pos:R:3 pbc="T T T"
Li 0.0000 0.0000 0.0000
Li 0.0000 2.9209 4.0857
Ge 2.9209 0.0000 4.0857
Ge 0.0000 0.0000 8.1713
I 4.3814 1.3918 -2.0428
I 1.3918 1.4605 2.0428
I -1.4605 1.5291 6.1285
I 1.5291 1.4605 10.2142
```

Calculated values
Fermi-level density of states = 5.43 states/eV/cell
Energy = -11.4 eV per formula unit
Formation energy without anion corrections = -22.98 kJ per mole of atoms

(9)
Density functional theory data (GGA-PBEsol) for a relaxed structure of BiTe2F.

Geometry as extended XYZ:
```
4
Lattice="1.9637 1.1337 7.5684 -1.9637 1.1337 7.5684 0.0000 -2.2675 7.5684" Properties=species:S:1:pos:R:3 pbc="T T T"
Bi 0.0000 0.0000 0.0000
Te 0.0000 0.0000 5.4900
Te 0.0000 0.0000 17.2151
F 0.0000 0.0000 11.3525
```

Calculated values
Fermi-level density of states = 4.17 states/eV/cell
Energy = -14.6 eV per formula unit
Formation energy without anion corrections = -32.54 kJ per mole of atoms

(10)
Density functional theory data (GGA-PBEsol) for a relaxed structure of NbInFe2Sb.

Geometry as extended XYZ:
```
5
Lattice="4.6325 0.0000 0.0000 0.0000 4.6325 0.0000 0.0000 0.0000 5.3498" Properties=species:S:1:pos:R:3 pbc="T T T"
Nb 0.0000 0.0000 0.0000
In 2.3162 2.3162 2.6749
Fe 0.0000 2.3162 2.6749
Fe 2.3162 0.0000 2.6749
Sb 2.3162 2.3162 0.0000
```

Calculated values
Fermi-level density of states = 6.99 states/eV/cell
Energy = -27.6 eV per formula unit
Formation energy without anion corrections = 168.39 kJ per mole of atoms

(11)
Density functional theory data (GGA-PBEsol) for a relaxed structure of TaFeAu2.

Geometry as extended XYZ:
```
4
Lattice="1.8976 -2.0300 0.0000 1.8976 2.0300 0.0000 0.0000 0.0000 8.1215" Properties=species:S:1:pos:R:3 pbc="T T T"
Ta 0.0000 0.0000 0.0000
Fe 1.8976 0.0000 1.9192
Au 0.0000 0.0000 3.7609
Au 1.8976 0.0000 6.0023
```

Calculated values
Energy relative to the elements = 0.039 eV/atom
Fermi-level density of states = 2.98 states/eV/cell
Energy = -29.2 eV per formula unit

(12)
Density functional theory data (GGA-PBEsol) for a relaxed structure of NiIr5.

Geometry as extended XYZ:
```
6
Lattice="4.3387 0.0000 0.0000 0.0000 1.3556 6.9401 0.0000 -1.3556 6.9401" Properties=species:S:1:pos:R:3 pbc="T T T"
Ni 0.0000 0.0000 0.0000
Ir 0.0000 0.0000 4.6801
Ir 0.0000 0.0000 9.2283
Ir 2.1694 0.0000 3.0769
Ir 2.1694 0.0000 7.6964
Ir 2.1694 0.0000 12.4031
```

Calculated values
Energy relative to the elements = 0.076 eV/atom
Fermi-level density of states = 8.22 states/eV/cell
Energy = -54.8 eV per formula unit

(13)
Density functional theory data (GGA-PBEsol) for a relaxed structure of AlSb2P.

Geometry as extended XYZ:
```
4
Lattice="0.0000 3.4603 3.4603 3.4603 0.0000 3.4603 3.4603 3.4603 0.0000" Properties=species:S:1:pos:R:3 pbc="T T T"
Al 0.0000 0.0000 0.0000
Sb 1.7301 1.7301 1.7301
Sb 5.1904 5.1904 5.1904
P 3.4603 3.4603 3.4603
```

Calculated values
Fermi-level density of states = 1.38 states/eV/cell
Energy = -17.7 eV per formula unit
Formation energy without anion corrections = 31.33 kJ per mole of atoms

(14)
Density functional theory data (GGA-PBEsol) for a relaxed structure of YMn2Hg.

Geometry as extended XYZ:
```
4
Lattice="3.2695 0.0000 0.0000 0.0000 3.5331 0.0000 0.0000 0.0000 6.5205" Properties=species:S:1:pos:R:3 pbc="T T T"
Y 0.0000 0.0000 0.0000
Mn 0.0000 0.0000 3.5684
Mn 1.6348 1.7665 4.7720
Hg 1.6348 1.7665 2.0386
```

Calculated values
Energy relative to the elements = 0.241 eV/atom
Fermi-level density of states = 3.50 states/eV/cell
Energy = -25.9 eV per formula unit

(15)
Density functional theory data (GGA-PBEsol) for a relaxed structure of LiCu2Ru.

Geometry as extended XYZ:
```
4
Lattice="2.4251 0.0000 0.0000 0.0000 4.0259 0.0000 -1.0934 0.0000 4.9041" Properties=species:S:1:pos:R:3 pbc="T T T"
Li 0.0000 0.0000 0.0000
Cu 0.7399 2.0130 1.2167
Cu 0.5918 2.0130 3.6874
Ru -0.5467 0.0000 2.4520
```

Calculated values
Energy relative to the elements = 0.166 eV/atom
Fermi-level density of states = 2.37 states/eV/cell
Energy = -20.1 eV per formula unit

(16)
Density functional theory data (GGA-PBEsol) for a relaxed structure of LiZrCo.

Geometry as extended XYZ:
```
3
Lattice="4.1466 0.0000 0.0000 -2.0733 3.5911 0.0000 0.0000 0.0000 2.8976" Properties=species:S:1:pos:R:3 pbc="T T T"
Li 0.0000 0.0000 0.0000
Zr 0.0000 2.3940 1.2166
Co 2.0733 1.1970 2.2903
```

Calculated values
Energy relative to the elements = 0.137 eV/atom
Fermi-level density of states = 2.15 states/eV/cell
Energy = -18.4 eV per formula unit

(17)
Density functional theory data (GGA-PBEsol) for a relaxed structure of Mn5Al8.

Geometry as extended XYZ:
```
26
Lattice="-4.4258 4.4258 4.4258 4.4258 -4.4258 4.4258 4.4258 4.4258 -4.4258" Properties=species:S:1:pos:R:3 pbc="T T T"
Mn 1.5416 1.5416 -1.5416
Mn 1.5416 -1.5416 1.5416
Mn 3.1335 0.0000 0.0000
Mn 5.7181 0.0000 0.0000
Mn -1.5416 1.5416 1.5416
Mn 0.0000 3.1335 0.0000
Mn 0.0000 0.0000 3.1335
Mn 0.0000 5.7181 0.0000
Mn 0.0000 0.0000 5.7181
Mn 2.8842 2.8842 2.8842
Al 3.4779 3.4779 -3.4779
Al 4.1226 1.6578 -1.6578
Al 4.1226 -1.6578 1.6578
Al 3.4779 -3.4779 3.4779
Al 0.9479 0.9479 0.9479
Al 1.6578 4.1226 -1.6578
Al 1.6578 -1.6578 4.1226
Al 2.7680 2.7680 0.3033
Al 2.7680 0.3033 2.7680
Al 4.7291 1.6578 1.6578
Al 0.3033 2.7680 2.7680
Al -1.6578 4.1226 1.6578
Al -1.6578 1.6578 4.1226
Al 1.6578 4.7291 1.6578
Al 1.6578 1.6578 4.7291
Al -3.4779 3.4779 3.4779
```

Calculated values
Energy relative to the elements = -0.173 eV/atom
Fermi-level density of states = 18.93 states/eV/cell
Energy = -83.8 eV per formula unit

(18)
Density functional theory data (GGA-PBEsol) for a relaxed structure of CaNi2Br.

Geometry as extended XYZ:
```
4
Lattice="3.6993 0.0000 0.0000 0.0000 3.6993 0.0000 0.0000 0.0000 5.5101" Properties=species:S:1:pos:R:3 pbc="T T T"
Ca 0.0000 0.0000 0.0000
Ni 1.8496 1.8496 1.1418
Ni 1.8496 1.8496 4.3683
Br 0.0000 0.0000 2.7550
```

Calculated values
Fermi-level density of states = 6.17 states/eV/cell
Energy = -15.7 eV per formula unit
Formation energy without anion corrections = 16.02 kJ per mole of atoms

(19)
Density functional theory data (GGA-PBEsol) for a relaxed structure of CsPS2F.

Geometry as extended XYZ:
```
5
Lattice="5.6584 0.0000 0.0000 0.0000 5.6584 0.0000 0.0000 0.0000 3.6806" Properties=species:S:1:pos:R:3 pbc="T T T"
Cs 0.0000 0.0000 0.0000
P 2.8292 2.8292 0.0000
S 0.0000 2.8292 1.8403
S 2.8292 0.0000 1.8403
F 2.8292 2.8292 1.8403
```

Calculated values
Fermi-level density of states = 4.34 states/eV/cell
Energy = -16.4 eV per formula unit
Formation energy without anion corrections = 19.68 kJ per mole of atoms

(20)
Density functional theory data (GGA-PBEsol) for a relaxed structure of Ag4TeSO4.

Geometry as extended XYZ:
```
40
Lattice="8.6364 0.0000 0.0000 0.0000 8.6364 0.0000 0.0000 0.0000 8.6364" Properties=species:S:1:pos:R:3 pbc="T T T"
Ag 0.0640 4.2542 4.3822
Ag 0.2505 0.8050 2.5316
Ag 0.8050 2.5316 0.2505
Ag 1.7866 8.3859 5.1232
Ag 2.5316 0.2505 0.8050
Ag 3.5132 6.1048 4.5687
Ag 4.0677 7.8314 6.8498
Ag 4.2542 4.3822 0.0640
Ag 4.3822 0.0640 4.2542
Ag 4.5687 3.5132 6.1048
Ag 5.1232 1.7866 8.3859
Ag 6.1048 4.5687 3.5132
Ag 6.8498 4.0677 7.8314
Ag 7.8314 6.8498 4.0677
Ag 8.3859 5.1232 1.7866
Ag 8.5724 8.5724 8.5724
Te 1.5887 7.0477 2.7295
Te 2.7295 1.5887 7.0477
Te 5.9069 5.9069 5.9069
Te 7.0477 2.7295 1.5887
S 1.0881 5.4063 7.5483
S 3.2301 3.2301 3.2301
S 5.4063 7.5483 1.0881
S 7.5483 1.0881 5.4063
O 0.1008 6.2313 8.3255
O 0.3109 4.4190 6.7233
O 1.9131 4.6291 8.5356
O 1.9357 6.2539 6.7007
O 2.3825 2.3825 2.3825
O 2.4051 4.0073 4.2174
O 4.0073 4.2174 2.4051
O 4.2174 2.4051 4.0073
O 4.4190 6.7233 0.3109
O 4.6291 8.5356 1.9131
O 6.2313 8.3255 0.1008
O 6.2539 6.7007 1.9357
O 6.7007 1.9357 6.2539
O 6.7233 0.3109 4.4190
O 8.3255 0.1008 6.2313
O 8.5356 1.9131 4.6291
```

Calculated values
Energy = -48.6 eV per formula unit
Formation energy without anion corrections = -61.91 kJ per mole of atoms

(21)
Density functional theory data (GGA-PBEsol) for a relaxed structure of BaGeSe2N.

Geometry as extended XYZ:
```
5
Lattice="5.9183 0.0000 0.0000 0.0000 5.9183 0.0000 0.0000 0.0000 4.8955" Properties=species:S:1:pos:R:3 pbc="T T T"
Ba 0.0000 0.0000 0.0000
Ge 2.9592 2.9592 2.4478
Se 0.0000 2.9592 0.0000
Se 2.9592 0.0000 0.0000
N 0.0000 0.0000 2.4478
```

Calculated values
Fermi-level density of states = 4.20 states/eV/cell
Energy = -17.9 eV per formula unit
Formation energy without anion corrections = 105.08 kJ per mole of atoms

(22)
Density functional theory data (GGA-PBEsol) for a relaxed structure of NaTmTi2O6.

Geometry as extended XYZ:
```
20
Lattice="7.5086 0.0000 0.0000 0.0000 5.4675 0.0000 0.0000 0.0000 5.2294" Properties=species:S:1:pos:R:3 pbc="T T T"
Na 0.0000 1.1755 0.0000
Na 3.7543 4.2920 2.6147
Tm 0.0000 3.6851 2.4859
Tm 3.7543 1.7824 5.1006
Ti 1.8628 1.2838 2.5302
Ti 1.8915 4.1836 5.1448
Ti 5.6171 4.1836 5.1448
Ti 5.6458 1.2838 2.5302
O 0.0000 1.5131 2.9964
O 0.0000 4.2534 4.6195
O 1.4539 5.1392 1.6085
O 1.5597 2.5370 1.1145
O 2.1945 2.9304 3.7292
O 2.3004 0.3282 4.2232
O 3.7543 1.2141 2.0048
O 3.7543 3.9544 0.3817
O 5.2082 0.3282 4.2232
O 5.3140 2.9304 3.7292
O 5.9488 2.5370 1.1145
O 6.0547 5.1392 1.6085
```

Calculated values
Fermi-level density of states = 0.00 states/eV/cell
Energy = -85.3 eV per formula unit
Formation energy without anion corrections = -297.73 kJ per mole of atoms

(23)
Density functional theory data (GGA-PBEsol) for a relaxed structure of Na2MnBAsO7.

Geometry as extended XYZ:
```
24
Lattice="5.3938 0.0000 0.0000 0.0000 6.4581 0.0000 -0.6818 0.0000 9.1587" Properties=species:S:1:pos:R:3 pbc="T T T"
Na 1.0783 0.0145 2.7077
Na 1.0783 3.2146 2.7077
Na 3.6338 3.2435 6.4511
Na 3.6338 6.4436 6.4511
Mn 0.5696 4.8436 7.6720
Mn 4.1425 1.6145 1.4867
B 1.1068 4.8436 5.3788
B 3.6052 1.6145 3.7799
As 0.8455 1.6145 8.5816
As 3.8665 4.8436 0.5771
O -0.1818 4.8436 5.9604
O 0.5997 1.6145 0.8499
O 0.4512 0.2968 7.5611
O 0.4512 2.9323 7.5611
O 1.4412 4.8436 4.1168
O 2.1768 4.8436 0.2127
O 1.9916 4.8436 6.5010
O 2.7205 1.6145 2.6577
O 2.5353 1.6145 8.9461
O 3.2709 1.6145 5.0419
O 4.2608 3.5258 1.5976
O 4.2608 6.1613 1.5976
O 4.1124 4.8436 8.3088
O 4.8938 1.6145 3.1983
```

Calculated values
Energy = -82.1 eV per formula unit
Formation energy without anion corrections = -166.45 kJ per mole of atoms